Entry 1:
DFT (PBE) results for SbI2Br after structural relaxation.

The structure in extended XYZ format:
```
4
Lattice="4.339 0.000 0.000 -2.129 6.969 0.000 -0.205 -3.186 6.917" Properties=species:S:1:pos:R:3 pbc="T T T"
Sb 0.000 0.000 0.000
I 0.098 3.566 4.740
I 2.337 4.289 0.621
Br 2.473 0.594 1.875
```

Summary:
The calculation puts the raw formation energy at -0.383 eV/atom. The total moment is 0.0 μB per formula unit. Its volume is 209 Å³ per cell. The density of states at the Fermi level is 0.00 states/eV/atom. Its total energy is -10.4 eV per formula unit. The value obtained for the energy above the most stable polymorph in this dataset is 19.8 meV/atom.

***

Entry 2:
DFT (PBE) results for ScNiIN2 after structural relaxation.

The structure in extended XYZ format:
```
5
Lattice="4.036 0.000 0.000 0.000 4.036 0.000 0.000 0.000 6.199" Properties=species:S:1:pos:R:3 pbc="T T T"
Sc 0.000 0.000 0.000
Ni 2.018 2.018 3.100
I 0.000 0.000 3.100
N 0.000 2.018 0.000
N 2.018 0.000 0.000
```

Summary:
The calculation puts the raw formation energy at 0.887 eV/atom. The total moment is 1.8 μB per formula unit. Its volume is 101 Å³ per cell. The density of states at the Fermi level is 0.90 states/eV/atom. Its total energy is -25.9 eV per formula unit. The value obtained for the energy above the most stable polymorph in this dataset is 0.0 meV/atom.

***

Entry 3:
DFT (PBE) results for HfAlIn2 after structural relaxation.

The structure in extended XYZ format:
```
4
Lattice="1.616 0.933 10.564 -1.616 0.933 10.564 0.000 -1.866 10.564" Properties=species:S:1:pos:R:3 pbc="T T T"
Hf 0.000 0.000 0.000
Al 0.000 0.000 15.847
In 0.000 0.000 2.940
In 0.000 0.000 28.753
```

Summary:
The total moment is 0.0 μB per formula unit. Its volume is 96 Å³ per cell. The density of states at the Fermi level is 0.77 states/eV/atom. Its total energy is -17.8 eV per formula unit.